Entry 1:
DFT (GGA-PBEsol) results for crystalline Cu2PCl at its relaxed geometry.

Summary:
DFT total energy = -4.12 eV/atom
E_form (uncorrected) = -0.01 eV/atom
Energy above the most stable polymorph in this dataset = 0.0 kJ/mol of formula units
D(E_F) = 0.31 states/eV per atom

a b c (Å): 3.007 3.073 6.386
angles (deg): 90.10 90.00 90.00
Element x y z (fractional)
P: 0.500 0.000 0.500
Cu: 0.000 0.503 0.699
Cu: 0.000 0.497 0.301
Cl: 0.500 0.500 0.000


Entry 2:
DFT (GGA-PBEsol) results for crystalline LiP2IO at its relaxed geometry.

Summary:
DFT total energy = -3.44 eV/atom
E_form (uncorrected) = 0.67 eV/atom
D(E_F) = 0.79 states/eV per atom

a b c (Å): 3.893 5.249 5.249
angles (deg): 90.00 90.00 90.00
Element x y z (fractional)
I: 0.000 0.000 0.000
P: 0.000 0.500 0.000
P: 0.000 0.000 0.500
Li: 0.500 0.500 0.500
O: 0.500 0.000 0.000


Entry 3:
DFT (GGA-PBEsol) results for crystalline IrRu at its relaxed geometry.

Summary:
DFT total energy = -9.99 eV/atom
Formation enthalpy at 0 K = 4 meV/atom
Energy above the most stable polymorph in this dataset = 10.5 kJ/mol of formula units
D(E_F) = 0.91 states/eV per atom

a b c (Å): 2.684 2.684 7.598
angles (deg): 90.00 90.00 90.00
Element x y z (fractional)
Ru: 0.000 0.500 0.377
Ru: 0.500 0.000 0.623
Ir: 0.500 0.000 0.129
Ir: 0.000 0.500 0.871


Entry 4:
DFT (GGA-PBEsol) results for crystalline NaLuO2 at its relaxed geometry.

Summary:
DFT total energy = -7.14 eV/atom
E_form (uncorrected) = -2.94 eV/atom
Energy above the most stable polymorph in this dataset = 0.0 kJ/mol of formula units
D(E_F) = 0.00 states/eV per atom

a b c (Å): 3.288 3.288 5.790
angles (deg): 73.50 73.50 60.00
Element x y z (fractional)
Na: 0.000 0.000 0.000
O: 0.764 0.764 0.708
O: 0.236 0.236 0.292
Lu: 0.500 0.500 0.500


Entry 5:
DFT (GGA-PBEsol) results for crystalline CdHg2 at its relaxed geometry.

Summary:
DFT total energy = -0.79 eV/atom
Formation enthalpy at 0 K = -8 meV/atom
Energy above the most stable polymorph in this dataset = 0.0 kJ/mol of formula units
D(E_F) = 0.32 states/eV per atom

a b c (Å): 3.740 4.136 8.617
angles (deg): 90.00 90.00 90.00
Element x y z (fractional)
Hg: 0.500 0.499 0.834
Hg: 0.000 0.001 0.334
Hg: 0.500 0.501 0.166
Hg: 0.000 0.999 0.666
Cd: 0.000 0.000 0.000
Cd: 0.500 0.500 0.500


Entry 6:
DFT (GGA-PBEsol) results for crystalline YIr2Rh at its relaxed geometry.

Summary:
DFT total energy = -8.61 eV/atom
Formation enthalpy at 0 K = 42 meV/atom
Energy above the most stable polymorph in this dataset = 116.0 kJ/mol of formula units
D(E_F) = 2.03 states/eV per atom

a b c (Å): 4.530 4.530 4.530
angles (deg): 60.00 60.00 60.00
Site moments in Bohr magnetons follow the coordinates.
Element x y z (fractional)
Y: 0.500 0.500 0.500  0.00
Ir: 0.750 0.750 0.750  0.13
Ir: 0.250 0.250 0.250  0.13
Rh: 0.000 0.000 0.000  0.17


Entry 7:
DFT (GGA-PBEsol) results for crystalline K3Ba at its relaxed geometry.

Summary:
DFT total energy = -1.29 eV/atom
Formation enthalpy at 0 K = 97 meV/atom
D(E_F) = 1.24 states/eV per atom

a b c (Å): 4.378 7.299 8.458
angles (deg): 90.00 98.63 90.00
Element x y z (fractional)
K: 0.308 0.500 0.752
K: 0.500 0.000 0.500
K: 0.692 0.500 0.248
Ba: 0.000 0.000 0.000


Entry 8:
DFT (GGA-PBEsol) results for crystalline FeHg3Cl at its relaxed geometry.

Summary:
DFT total energy = -2.23 eV/atom
E_form (uncorrected) = 0.30 eV/atom
D(E_F) = 0.73 states/eV per atom

a b c (Å): 5.056 5.056 5.056
angles (deg): 90.00 90.00 90.00
Site moments in Bohr magnetons follow the coordinates.
Element x y z (fractional)
Fe: 0.000 0.000 0.000  2.74
Hg: 0.000 0.500 0.000  0.02
Hg: 0.500 0.000 0.000  0.02
Hg: 0.000 0.000 0.500  0.02
Cl: 0.500 0.500 0.500  0.05